Entry 1:
Computed, not measured: a relaxed structure of Mg6TlGa at the PBE level of DFT. Values from VASP.

Values from the calculation:
* calculated volume: 21.784 Å³ per atom
* ΔH_f (0 K): -0.506 eV/f.u.
* total magnetic moment: 0.0 Bohr magnetons per cell

Cell and atoms, written as Quantum ESPRESSO input:
```
&SYSTEM
  ibrav = 0, nat = 8, ntyp = 3
/
ATOMIC_SPECIES
Mg 24.30 Mg.upf
Tl 204.38 Tl.upf
Ga 69.72 Ga.upf
CELL_PARAMETERS angstrom
-4.062 -1.810 -0.146
0.540 -0.862 -4.332
3.431 -7.857 1.992
ATOMIC_POSITIONS angstrom
Mg -1.761 -1.336 -2.239
Mg -0.046 -5.265 -1.243
Mg -1.133 -2.961 0.448
Mg 0.502 -6.706 1.398
Mg 1.168 -2.487 -1.645
Mg 2.803 -6.232 -0.695
Tl 0.000 0.000 0.000
Ga 1.715 -3.929 0.996
```

Entry 2:
Computed, not measured: a relaxed structure of LiCa3Tb3Te8 at the PBE level of DFT. Values from VASP.

Values from the calculation:
* calculated volume: 32.813 Å³ per atom
* formation energy (no corrections): -1402 meV/atom
* total magnetic moment: 0.0 Bohr magnetons per cell

Cell and atoms, written as Quantum ESPRESSO input:
```
&SYSTEM
  ibrav = 0, nat = 15, ntyp = 4
/
ATOMIC_SPECIES
Li 6.94 Li.upf
Ca 40.08 Ca.upf
Tb 158.93 Tb.upf
Te 127.60 Te.upf
CELL_PARAMETERS angstrom
8.822 0.000 0.000
-4.411 7.640 -0.027
0.000 -5.067 7.321
ATOMIC_POSITIONS angstrom
Li 0.000 -2.534 3.660
Ca 0.000 0.000 0.000
Ca -2.205 3.820 -0.013
Ca 2.205 3.820 -0.013
Tb 4.411 -2.534 3.660
Tb 2.205 1.286 3.647
Tb -2.205 1.286 3.647
Te 0.000 2.554 1.856
Te 4.411 0.019 5.438
Te 4.411 2.550 1.901
Te 0.000 0.023 5.393
Te 6.613 -1.264 1.913
Te -2.202 3.837 5.381
Te 2.209 -1.264 1.913
Te 2.202 3.837 5.381
```

Entry 3:
Computed, not measured: a relaxed structure of Sr2GdTl at the PBE level of DFT. Values from VASP.

Values from the calculation:
* calculated volume: 35.889 Å³ per atom
* ΔH_f (0 K): -0.246 eV/f.u.
* polymorph energy (0 for the lowest one): 0.0252 eV/atom
* total magnetic moment: 7.1 Bohr magnetons per cell

Cell and atoms, written as Quantum ESPRESSO input:
```
&SYSTEM
  ibrav = 0, nat = 4, ntyp = 3
/
ATOMIC_SPECIES
Sr 87.62 Sr.upf
Tl 204.38 Tl.upf
Gd 157.25 Gd.upf
CELL_PARAMETERS angstrom
-4.367 2.413 2.116
-2.651 -4.386 -0.468
1.504 -1.412 4.715
ATOMIC_POSITIONS angstrom
Sr 0.752 -0.706 2.358
Sr -1.326 -2.193 -0.234
Tl -2.757 -1.693 3.181
Gd -2.184 1.207 1.058
```